1.
SrTa2Co, optimized geometry, DFT PBE; energy relative to the elements = 0.519 eV/atom; space group = C2/m, No. 12; size of the total moment = 0.00 μB per cell
1.0
5.794 -1.468 0.000
5.794 1.468 0.000
-1.890 0.000 4.736
Sr Ta Co
1 2 1
direct
0.000 0.000 0.000
0.199 0.199 0.681
0.801 0.801 0.319
0.500 0.500 0.500

2.
Sr2TaCo, optimized geometry, DFT PBE; energy relative to the elements = 0.358 eV/atom; space group = Pm, No. 6; size of the total moment = 0.00 μB per cell
1.0
3.411 0.000 0.000
0.000 3.410 0.000
-0.007 0.000 9.586
Sr Ta Co
2 1 1
direct
0.000 0.000 0.000
0.498 0.500 0.393
0.999 0.000 0.666
0.500 0.500 0.744

3.
SrTaCo2, optimized geometry, DFT PBE; energy relative to the elements = 0.630 eV/atom; space group = Imm2, No. 44; size of the total moment = 1.37 μB per cell
1.0
-1.414 2.364 5.178
1.414 -2.364 5.178
1.414 2.364 -5.178
Sr Ta Co
1 1 2
direct
0.000 0.000 0.000
0.295 0.795 0.500
0.529 0.529 0.000
0.721 0.221 0.500